[1]
Sr2SnRuO6 | PBE-GGA | relaxed

Calculated values
The density of states at the Fermi level is 4.4 states/eV per cell. The final energy comes out at -65.44 eV/f.u. The uncorrected formation energy comes out at -1.905 eV/atom.

a b c (Å): 5.7331 5.7331 5.7321
angles (deg): 60.01 60.01 90.01
Last column: nearest neighbours and their distance in Å.
Fractional positions:
1 Sr 0.2499 0.7499 0.5000  12 O 2.87
2 Sr 0.7501 0.2501 0.5000  12 O 2.87
3 Sn 0.5000 0.5000 0.0000  6 O 2.05
4 Ru 0.0000 0.0000 0.0000  6 O 2.00-2.01
5 O 0.2474 0.7525 0.0000  1 Ru 2.01, 1 Sn 2.05
6 O 0.7527 0.7526 0.0000  1 Ru 2.01, 1 Sn 2.05
7 O 0.2472 0.2473 0.5054  1 Ru 2.00, 1 Sn 2.05
8 O 0.7526 0.2475 0.0000  1 Ru 2.01, 1 Sn 2.05
9 O 0.2473 0.2474 0.0000  1 Ru 2.01, 1 Sn 2.05
10 O 0.7528 0.7527 0.4946  1 Ru 2.00, 1 Sn 2.05

=====

[2]
CrIr6Rh3 | PBE-GGA | relaxed

Calculated values
The value obtained for the energy of formation from the pure elements is -0.08 eV/atom. The density of states at the Fermi level is 19.6 states/eV per cell. The final energy comes out at -85.67 eV/f.u.

a b c (Å): 3.8357 8.5818 8.6002
angles (deg): 90.15 90.00 90.00
Last column: nearest neighbours and their distance in Å.
Fractional positions:
1 Cr 0.2500 0.9466 0.6049  10 Ir 2.63-2.65, 2 Cr 2.79
2 Cr 0.7500 0.0534 0.3951  10 Ir 2.63-2.65, 2 Cr 2.79
3 Ir 0.2500 0.4509 0.1013  7 Rh 2.71-2.74, 5 Ir 2.73-2.76
4 Ir 0.7500 0.5491 0.8987  7 Rh 2.71-2.74, 5 Ir 2.73-2.76
5 Ir 0.2500 0.1480 0.2074  8 Ir 2.62-2.81, 2 Cr 2.64, 2 Rh 2.76
6 Ir 0.7500 0.8520 0.7926  8 Ir 2.62-2.81, 2 Cr 2.64, 2 Rh 2.76
7 Ir 0.2500 0.6533 0.6974  1 Cr 2.64, 6 Ir 2.69-2.74, 5 Rh 2.70-2.76
8 Ir 0.7500 0.3467 0.3026  1 Cr 2.64, 6 Ir 2.69-2.74, 5 Rh 2.70-2.76
9 Ir 0.2500 0.2356 0.4991  5 Ir 2.62-2.73, 3 Cr 2.63-2.64, 4 Rh 2.75-2.84
10 Ir 0.7500 0.7644 0.5009  5 Ir 2.62-2.73, 3 Cr 2.63-2.64, 4 Rh 2.75-2.84
11 Ir 0.2500 0.8600 0.3091  5 Ir 2.62-2.73, 3 Cr 2.64-2.65, 4 Rh 2.76-2.82
12 Ir 0.7500 0.1400 0.6909  5 Ir 2.62-2.73, 3 Cr 2.64-2.65, 4 Rh 2.76-2.82
13 Ir 0.2500 0.0472 0.8964  1 Cr 2.65, 7 Ir 2.70-2.81, 4 Rh 2.71-2.74
14 Ir 0.7500 0.9528 0.1036  1 Cr 2.65, 7 Ir 2.70-2.81, 4 Rh 2.71-2.74
15 Rh 0.2500 0.5513 0.4003  8 Ir 2.70-2.84, 4 Rh 2.72
16 Rh 0.7500 0.4487 0.5997  8 Ir 2.70-2.84, 4 Rh 2.72
17 Rh 0.2500 0.3481 0.7993  4 Rh 2.72, 8 Ir 2.72-2.78
18 Rh 0.7500 0.6519 0.2007  4 Rh 2.72, 8 Ir 2.72-2.78
19 Rh 0.2500 0.7496 0.9998  10 Ir 2.71-2.82, 2 Rh 2.72
20 Rh 0.7500 0.2504 0.0002  10 Ir 2.71-2.82, 2 Rh 2.72

=====

[3]
TmPuCuAg | PBE-GGA | relaxed

Calculated values
The value obtained for the energy of formation from the pure elements is -0.03 eV/atom. The density of states at the Fermi level is 11.0 states/eV per cell. The final energy comes out at -25.86 eV/f.u.

a b c (Å): 5.0347 5.0347 5.0347
angles (deg): 60.00 60.00 60.00
Last column: nearest neighbours and their distance in Å.
Fractional positions:
1 Tm 0.5000 0.5000 0.5000  4 Ag 3.08, 4 Cu 3.08
2 Cu 0.7500 0.7500 0.7500  4 Tm 3.08, 4 Pu 3.08
3 Ag 0.2500 0.2500 0.2500  4 Pu 3.08, 4 Tm 3.08
4 Pu 0.0000 0.0000 0.0000  4 Ag 3.08, 4 Cu 3.08

=====

[4]
MgIrO2 | PBE-GGA | relaxed

Calculated values
The density of states at the Fermi level is 0.7 states/eV per cell. The final energy comes out at -23.46 eV/f.u. The uncorrected formation energy comes out at -0.772 eV/atom.

a b c (Å): 5.9665 5.9665 5.9665
angles (deg): 31.97 31.97 31.97
Last column: nearest neighbours and their distance in Å.
Fractional positions:
1 Mg 0.0000 0.0000 0.0000  2 O 1.96
2 Ir 0.5000 0.5000 0.5000  6 O 2.09
3 O 0.8846 0.8846 0.8846  1 Mg 1.96, 3 Ir 2.09
4 O 0.1154 0.1154 0.1154  1 Mg 1.96, 3 Ir 2.09

=====

[5]
Zr2SiHgRh | PBE-GGA | relaxed

Calculated values
The density of states at the Fermi level is 5.0 states/eV per cell. The final energy comes out at -29.96 eV/f.u. The uncorrected formation energy comes out at 0.043 eV/atom.

a b c (Å): 5.0660 4.4785 5.0660
angles (deg): 90.00 90.00 90.00
Last column: nearest neighbours and their distance in Å.
Fractional positions:
1 Si 0.0000 0.5000 0.0000  2 Rh 2.24
2 Rh 0.0000 0.0000 0.0000  2 Si 2.24
3 Hg 0.5000 0.5000 0.5000  8 Zr 3.38, 4 Si 3.58
4 Zr 0.0000 0.0000 0.5000  2 Rh 2.53
5 Zr 0.5000 0.0000 0.0000  2 Rh 2.53

=====

[6]
CdOs2Rh | PBE-GGA | relaxed

Calculated values
The value obtained for the energy of formation from the pure elements is 0.53 eV/atom. The density of states at the Fermi level is 4.0 states/eV per cell. The final energy comes out at -28.60 eV/f.u.

a b c (Å): 2.7332 4.0340 5.6991
angles (deg): 90.00 90.00 90.00
Last column: nearest neighbours and their distance in Å.
Fractional positions:
1 Cd 0.5000 0.5000 0.5000  2 Cd 2.73, 2 Rh 2.85, 8 Os 2.91
2 Os 0.0000 0.0000 0.7791  3 Os 2.52-2.73, 4 Rh 2.74
3 Os 0.0000 0.0000 0.2209  3 Os 2.52-2.73, 4 Rh 2.74
4 Rh 0.5000 0.5000 0.0000  2 Rh 2.73, 8 Os 2.74, 2 Cd 2.85

=====

[7]
LiGaAgCl5 | PBE-GGA | relaxed

Calculated values
The density of states at the Fermi level is 0.0 states/eV per cell. The final energy comes out at -25.88 eV/f.u. The uncorrected formation energy comes out at -1.107 eV/atom.

a b c (Å): 7.2374 7.2374 9.1677
angles (deg): 106.67 106.67 91.42
Last column: nearest neighbours and their distance in Å.
Fractional positions:
1 Li 0.0000 0.0000 0.5000  4 Cl 2.45-2.63
2 Li 0.0000 0.0000 0.0000  4 Cl 2.45-2.63
3 Ga 0.6575 0.3425 0.2500  4 Cl 2.19-2.22
4 Ga 0.3425 0.6575 0.7500  4 Cl 2.19-2.22
5 Ag 0.3213 0.6787 0.2500  3 Cl 2.46-2.71
6 Ag 0.6787 0.3213 0.7500  3 Cl 2.46-2.71
7 Cl 0.0838 0.9162 0.2500  2 Li 2.45, 1 Ag 2.46
8 Cl 0.9162 0.0838 0.7500  2 Li 2.45, 1 Ag 2.46
9 Cl 0.8811 0.3292 0.1303  1 Ga 2.19
10 Cl 0.1189 0.6708 0.8697  1 Ga 2.19
11 Cl 0.6708 0.1189 0.3697  1 Ga 2.19
12 Cl 0.3292 0.8811 0.6303  1 Ga 2.19
13 Cl 0.6833 0.6377 0.4203  1 Ga 2.22
14 Cl 0.3167 0.3623 0.5797  1 Ga 2.22
15 Cl 0.3623 0.3167 0.0797  1 Ga 2.22
16 Cl 0.6377 0.6833 0.9203  1 Ga 2.22

=====

[8]
MnCrH3 | PBE-GGA | relaxed

Calculated values
The density of states at the Fermi level is 6.9 states/eV per cell. The final energy comes out at -28.66 eV/f.u.

a b c (Å): 4.3201 5.5656 5.5455
angles (deg): 120.56 90.00 90.00
Last column: nearest neighbours and their distance in Å.
Fractional positions:
1 Mn 0.7606 0.0776 0.6711  4 H 1.67-1.85
2 Mn 0.2394 0.9224 0.3289  4 H 1.67-1.85
3 Mn 0.2606 0.4224 0.8289  4 H 1.67-1.85
4 Mn 0.7394 0.5776 0.1711  4 H 1.67-1.85
5 Cr 0.2492 0.4141 0.3335  6 H 1.72-1.87
6 Cr 0.7508 0.5859 0.6665  6 H 1.72-1.87
7 Cr 0.7492 0.0859 0.1665  6 H 1.72-1.87
8 Cr 0.2508 0.9141 0.8335  6 H 1.72-1.87
9 H 0.9920 0.7535 0.5318  3 Cr 1.79-1.97, 1 Mn 1.85, 1 H 1.87
10 H 0.0080 0.2465 0.4682  3 Cr 1.79-1.97, 1 Mn 1.85, 1 H 1.87
11 H 0.4920 0.7465 0.9682  3 Cr 1.79-1.97, 1 Mn 1.85, 1 H 1.87
12 H 0.5080 0.2535 0.0318  3 Cr 1.79-1.97, 1 Mn 1.85, 1 H 1.87
13 H 0.4921 0.7101 0.5111  3 Cr 1.75-1.87, 2 H 1.90-1.94, 1 Mn 1.96
14 H 0.5079 0.2899 0.4889  3 Cr 1.75-1.87, 2 H 1.90-1.94, 1 Mn 1.96
15 H 0.9921 0.7899 0.9889  3 Cr 1.75-1.87, 2 H 1.90-1.94, 1 Mn 1.96
16 H 0.0079 0.2101 0.0111  3 Cr 1.75-1.87, 2 H 1.90-1.94, 1 Mn 1.96
17 H 0.1389 0.5861 0.1639  3 Mn 1.67-1.73, 1 Cr 1.72
18 H 0.8611 0.4139 0.8361  3 Mn 1.67-1.73, 1 Cr 1.72
19 H 0.6389 0.9139 0.3361  3 Mn 1.67-1.73, 1 Cr 1.72
20 H 0.3611 0.0861 0.6639  3 Mn 1.67-1.73, 1 Cr 1.72

=====

[9]
Ni2TeN2 | PBE-GGA | relaxed

Calculated values
The density of states at the Fermi level is 3.3 states/eV per cell. The final energy comes out at -28.91 eV/f.u. The uncorrected formation energy comes out at 0.489 eV/atom.

a b c (Å): 3.6082 3.6082 6.3865
angles (deg): 73.59 73.59 90.00
Last column: nearest neighbours and their distance in Å.
Fractional positions:
1 Ni 0.7500 0.2500 0.5000  4 N 1.92
2 Ni 0.2500 0.7500 0.5000  4 N 1.92
3 Te 0.0000 0.0000 0.0000  2 N 2.26
4 N 0.1929 0.1929 0.6142  4 Ni 1.92
5 N 0.8071 0.8071 0.3858  4 Ni 1.92

=====

[10]
Ac3Sn4 | PBE-GGA | relaxed

Calculated values
The value obtained for the energy of formation from the pure elements is -0.51 eV/atom. The density of states at the Fermi level is 4.1 states/eV per cell. The final energy comes out at -31.92 eV/f.u.

a b c (Å): 4.2556 4.3583 12.9718
angles (deg): 99.67 99.44 90.00
Last column: nearest neighbours and their distance in Å.
Fractional positions:
1 Ac 0.8583 0.3583 0.7167  9 Sn 3.33-3.72, 1 Ac 3.57
2 Ac 0.0000 0.5000 0.0000  8 Sn 3.49, 2 Ac 3.57
3 Ac 0.1417 0.6417 0.2833  9 Sn 3.33-3.72, 1 Ac 3.57
4 Sn 0.7262 0.2262 0.4524  4 Sn 3.27, 1 Ac 3.33
5 Sn 0.2738 0.7738 0.5476  4 Sn 3.27, 1 Ac 3.33
6 Sn 0.4328 0.9328 0.8655  1 Sn 3.39, 8 Ac 3.49-3.58
7 Sn 0.5672 0.0672 0.1345  1 Sn 3.39, 8 Ac 3.49-3.58